! NiAs2F (GGA+U, relaxed); values from VASP
! - Excess energy over the best structure of this formula in the dataset: 146 meV/atom
! - N(E_F): 4.2 states/eV/cell
! - Final energy: -3.33 eV/atom
! - Total magnetic moment: 0.0 μB/cell
&SYSTEM
  ibrav = 0, nat = 8, ntyp = 3
/
ATOMIC_SPECIES
As 74.92 As.upf
Ni 58.69 Ni.upf
F 19.00 F.upf
CELL_PARAMETERS angstrom
5.048 0.000 0.000
0.000 5.048 0.000
2.524 2.524 5.832
ATOMIC_POSITIONS crystal
As 0.375 0.339 0.750
As 0.089 0.625 0.250
Ni 0.750 0.250 0.500
As 0.875 0.911 0.750
As 0.661 0.125 0.250
F 0.500 0.500 0.000
Ni 0.000 0.000 0.000
F 0.250 0.750 0.500